# 1
A relaxed Mn4VGa2 crystal, computed with PBE-GGA.

## Properties
Formation energy ... 0.227 eV per atom
Raw total energy ... -7.18 eV per atom
Magnetization ... 32.64 μB/cell
E above lowest polymorph ... 0 meV per atom

Cell lengths 7.2436, 7.2436, 7.3928 Å; angles 90.00, 90.00, 90.00 degrees
Space group I-42d (No. 122)
Asymmetric unit:
Mn  0.0761  0.1798  0.2957 (multiplicity 16)
V  0.0000  0.0000  0.0000 (multiplicity 4)
Ga  0.1193  0.2500  0.6250 (multiplicity 8)

# 2
A relaxed SnTe2O crystal, computed with PBE-GGA.

## Properties
Raw total energy ... -3.65 eV per atom
Magnetization ... 0.00 μB/cell
Formation energy without anion corrections ... 162 meV/atom
E above lowest polymorph ... 264 meV per atom

Cell lengths 3.2631, 3.2631, 29.2685 Å; angles 90.00, 90.00, 120.00 degrees
Space group R-3m (No. 166, hexagonal axes)
Asymmetric unit:
Sn  0.0000  0.0000  0.0000 (multiplicity 3)
Te  0.0000  0.0000  0.1055 (multiplicity 6)
O  0.0000  0.0000  0.5000 (multiplicity 3)

# 3
A relaxed KP2Pd crystal, computed with PBE-GGA.

## Properties
Formation energy ... -0.079 eV per atom
Raw total energy ... -4.36 eV per atom
Magnetization ... 0.00 μB/cell
E above lowest polymorph ... 293 meV per atom

Cell lengths 4.2391, 4.2391, 21.3799 Å; angles 90.00, 90.00, 120.00 degrees
Space group R-3m (No. 166, hexagonal axes)
Asymmetric unit:
K  0.0000  0.0000  0.0000 (multiplicity 3)
P  0.0000  0.0000  0.1439 (multiplicity 6)
Pd  0.0000  0.0000  0.5000 (multiplicity 3)

# 4
A relaxed La2InSn4 crystal, computed with PBE-GGA.

## Properties
Formation energy ... -0.052 eV per atom
Raw total energy ... -4.14 eV per atom
Magnetization ... 0.00 μB/cell
E above lowest polymorph ... 473 meV per atom

Cell lengths 5.5334, 5.5334, 15.9493 Å; angles 90.00, 90.00, 90.00 degrees
Space group I4/mmm (No. 139)
Asymmetric unit:
La  0.0000  0.0000  0.1240 (multiplicity 4)
In  0.0000  0.0000  0.5000 (multiplicity 2)
Sn  0.0000  0.0000  0.3247 (multiplicity 4)
Sn  0.0000  0.5000  0.0000 (multiplicity 4)

# 5
A relaxed BaNaCeSe3 crystal, computed with PBE-GGA.

## Properties
Raw total energy ... -4.91 eV per atom
Magnetization ... 1.99 μB/cell
Formation energy without anion corrections ... -1640 meV/atom

Cell lengths 9.0461, 4.4624, 9.6324 Å; angles 90.00, 104.87, 90.00 degrees
Space group P2_1/m (No. 11)
Asymmetric unit:
Ba  0.2035  0.2500  0.2358 (multiplicity 2)
Na  0.0901  0.2500  0.5843 (multiplicity 2)
Ce  0.3273  0.7500  0.8400 (multiplicity 2)
Se  0.1115  0.2500  0.8745 (multiplicity 2)
Se  0.2409  0.7500  0.5162 (multiplicity 2)
Se  0.4485  0.7500  0.1582 (multiplicity 2)

# 6
A relaxed CdTcAu crystal, computed with PBE-GGA.

## Properties
Formation energy ... 0.451 eV per atom
Raw total energy ... -4.40 eV per atom
Magnetization ... 2.08 μB/cell
E above lowest polymorph ... 190 meV per atom

Cell lengths 2.7529, 4.0630, 9.5267 Å; angles 90.00, 90.00, 90.00 degrees
Space group Imm2 (No. 44)
Asymmetric unit:
Cd  0.0000  0.0000  0.0000 (multiplicity 2)
Tc  0.0000  0.0000  0.6703 (multiplicity 2)
Au  0.0000  0.0000  0.3260 (multiplicity 2)

# 7
A relaxed Ba2PuCdTe5 crystal, computed with PBE-GGA.

## Properties
Raw total energy ... -5.02 eV per atom
Magnetization ... 15.87 μB/cell
Formation energy without anion corrections ... -1153 meV/atom

Cell lengths 4.6601, 20.2515, 14.1771 Å; angles 90.00, 90.00, 90.00 degrees
Space group Cmc2_1 (No. 36)
Asymmetric unit:
Ba  0.0000  0.1150  0.0000 (multiplicity 4)
Ba  0.0000  0.1250  0.6283 (multiplicity 4)
Pu  0.0000  0.2045  0.3274 (multiplicity 4)
Cd  0.0000  0.4423  0.7552 (multiplicity 4)
Te  0.0000  0.0551  0.3711 (multiplicity 4)
Te  0.0000  0.2919  0.9700 (multiplicity 4)
Te  0.0000  0.3037  0.6794 (multiplicity 4)
Te  0.0000  0.3544  0.3169 (multiplicity 4)
Te  0.0000  0.4977  0.0786 (multiplicity 4)

# 8
A relaxed Ac2Al6Ag3 crystal, computed with PBE-GGA.

## Properties
Formation energy ... -0.190 eV per atom
Raw total energy ... -3.76 eV per atom
Magnetization ... 0.00 μB/cell

Cell lengths 10.3491, 12.1656, 4.0632 Å; angles 90.00, 90.00, 90.00 degrees
Space group Cmmm (No. 65)
Asymmetric unit:
Ac  0.0000  0.2073  0.0000 (multiplicity 4)
Al  0.1185  0.0000  0.5000 (multiplicity 4)
Al  0.2052  0.3496  0.5000 (multiplicity 8)
Ag  0.0000  0.5000  0.5000 (multiplicity 2)
Ag  0.2112  0.5000  0.0000 (multiplicity 4)

# 9
A relaxed EuPaCl2 crystal, computed with PBE-GGA.

## Properties
Raw total energy ... -6.93 eV per atom
Magnetization ... 21.57 μB/cell
Formation energy without anion corrections ... -1066 meV/atom

Cell lengths 3.5516, 3.5516, 29.8347 Å; angles 90.00, 90.00, 120.00 degrees
Space group R-3m (No. 166, hexagonal axes)
Asymmetric unit:
Eu  0.0000  0.0000  0.0000 (multiplicity 3)
Pa  0.0000  0.0000  0.5000 (multiplicity 3)
Cl  0.0000  0.0000  0.0991 (multiplicity 6)

# 10
A relaxed Mg2Al2Rh crystal, computed with PBE-GGA.

## Properties
Formation energy ... -0.232 eV per atom
Raw total energy ... -3.84 eV per atom
Magnetization ... 0.00 μB/cell

Cell lengths 6.4305, 6.4305, 4.4203 Å; angles 90.00, 90.00, 90.00 degrees
Space group P4/mbm (No. 127)
Asymmetric unit:
Mg  0.1711  0.3289  0.0000 (multiplicity 4)
Al  0.1430  0.6430  0.5000 (multiplicity 4)
Rh  0.0000  0.0000  0.5000 (multiplicity 2)

# 11
A relaxed PrEuGdCd crystal, computed with PBE-GGA.

## Properties
Formation energy ... -0.036 eV per atom
Raw total energy ... -7.55 eV per atom
Magnetization ... 0.47 μB/cell

Cell lengths 7.9328, 7.9328, 7.9328 Å; angles 90.00, 90.00, 90.00 degrees
Space group F-43m (No. 216)
Asymmetric unit:
Pr  0.0000  0.0000  0.0000 (multiplicity 4)
Eu  0.2500  0.2500  0.2500 (multiplicity 4)
Gd  0.0000  0.0000  0.5000 (multiplicity 4)
Cd  0.2500  0.2500  0.7500 (multiplicity 4)

# 12
A relaxed PaAg3I6Cl2 crystal, computed with PBE-GGA.

## Properties
Raw total energy ... -3.21 eV per atom
Magnetization ... 0.00 μB/cell
Formation energy without anion corrections ... -628 meV/atom

Cell lengths 14.6684, 8.4529, 7.5513 Å; angles 90.00, 111.38, 90.00 degrees
Space group C2/m (No. 12)
Asymmetric unit:
Pa  0.0000  0.0000  0.0000 (multiplicity 2)
Ag  0.0000  0.5000  0.5000 (multiplicity 2)
Ag  0.2500  0.2500  0.0000 (multiplicity 4)
I  0.1194  0.2480  0.2529 (multiplicity 8)
I  0.1217  0.0000  0.7534 (multiplicity 4)
Cl  0.1456  0.5000  0.7850 (multiplicity 4)